# PBE LiTb3Ce4Se8, optimized geometry
data_LiTb3Ce4Se8
_cell_length_a 8.2463
_cell_length_b 8.2463
_cell_length_c 20.4929
_cell_angle_alpha 90.00
_cell_angle_beta 90.00
_cell_angle_gamma 120.00
_space_group_name_H-M_alt 'R -3 m'
_space_group_IT_number 166
_space_group_name_Hall '-R 3 2"'
loop_
_atom_site_label
_atom_site_fract_x
_atom_site_fract_y
_atom_site_fract_z
Li1 0.0000 0.0000 0.0000
Tb1 0.0000 0.5000 0.0000
Ce1 0.0000 0.0000 0.5000
Ce2 0.0000 0.5000 0.5000
Se1 0.0000 0.0000 0.2533
Se2 0.0064 0.5032 0.7449
# E_form (uncorrected) in eV/atom: -1.7680
# Size of the total moment in μB/cell: 14.8
# Volume in Å³ per cell: 1206.8



# PBE Li4TbCe3Se8, optimized geometry
data_Li4TbCe3Se8
_cell_length_a 8.3670
_cell_length_b 8.3670
_cell_length_c 19.4898
_cell_angle_alpha 90.00
_cell_angle_beta 90.00
_cell_angle_gamma 120.00
_space_group_name_H-M_alt 'R -3 m'
_space_group_IT_number 166
_space_group_name_Hall '-R 3 2"'
loop_
_atom_site_label
_atom_site_fract_x
_atom_site_fract_y
_atom_site_fract_z
Li1 0.0000 0.0000 0.0000
Li2 0.0000 0.5000 0.0000
Tb1 0.0000 0.0000 0.5000
Ce1 0.0000 0.5000 0.5000
Se1 0.0000 0.0000 0.2535
Se2 0.0062 0.5031 0.2524
# E_form (uncorrected) in eV/atom: -1.6190
# Size of the total moment in μB/cell: 9.0
# Volume in Å³ per cell: 1181.5